[1]
# InPd2Au2 | Alexandria | GGA-PBE | optimized geometry
data_InPd2Au2
_chemical_formula_sum 'In2 Pd4 Au4'
_space_group_name_H-M_alt 'I 4/m m m'
_space_group_IT_number 139
_space_group_name_Hall '-I 4 2'
_cell_length_a 3.780
_cell_length_b 3.780
_cell_length_c 13.728
_cell_angle_alpha 90.00
_cell_angle_beta 90.00
_cell_angle_gamma 90.00
loop_
_atom_site_label
_atom_site_fract_x
_atom_site_fract_y
_atom_site_fract_z
In1 0.000 0.000 0.000
Pd1 0.000 0.000 0.404
Au1 0.000 0.500 0.250
# * formation energy: -0.05 eV/atom
# * calculated total energy: -39.87 eV for the cell shown
# * density of states at the Fermi level: 2.265 states/eV/f.u.

---

[2]
# InPd2Au3 | Alexandria | GGA-PBE | optimized geometry
data_InPd2Au3
_chemical_formula_sum 'In4 Pd8 Au12'
_space_group_name_H-M_alt 'C 1 2/c 1'
_space_group_IT_number 15
_cell_length_a 5.864
_cell_length_b 8.271
_cell_length_c 9.101
_cell_angle_alpha 90.00
_cell_angle_beta 108.06
_cell_angle_gamma 90.00
loop_
_space_group_symop_operation_xyz
'x,y,z'
'-x,-y,-z'
'-x,y,-z+1/2'
'x,-y,z+1/2'
'x+1/2,y+1/2,z'
'-x+1/2,-y+1/2,-z'
'-x+1/2,y+1/2,-z+1/2'
'x+1/2,-y+1/2,z+1/2'
loop_
_atom_site_label
_atom_site_fract_x
_atom_site_fract_y
_atom_site_fract_z
In1 0.000 0.125 0.250
Pd1 0.167 0.125 0.585
Au1 0.000 0.375 0.750
Au2 0.165 0.375 0.081
# * formation energy: -0.24 eV/atom
# * calculated total energy: -97.52 eV for the cell shown
# * density of states at the Fermi level: 2.153 states/eV/f.u.